# PBE ZrTa2Ru, relaxed
# - N(E_F) (states/eV per cell) = 4.80
# - energy relative to the elements (eV/atom) = -0.2684
# - raw total energy (eV/atom) = -10.6507
# - size of the total moment (μB per formula unit) = 0.00
# - ρ (Mg/m³) = 12.8
data_ZrTa2Ru
_cell_length_a 3.259
_cell_length_b 4.580
_cell_length_c 9.626
_cell_angle_alpha 90.00
_cell_angle_beta 90.00
_cell_angle_gamma 90.00
_space_group_name_H-M_alt 'I m m m'
_space_group_IT_number 71
_space_group_name_Hall '-I 2 2'
loop_
_atom_site_label
_atom_site_fract_x
_atom_site_fract_y
_atom_site_fract_z
Zr1 0.000 0.000 0.000
Ta1 0.000 0.500 0.238
Ru1 0.000 0.000 0.500

# PBE MgSc2N, relaxed
# - N(E_F) (states/eV per cell) = 7.37
# - raw total energy (eV/atom) = -6.4262
# - size of the total moment (μB per formula unit) = 0.00
# - formation energy without anion corrections (eV per atom) = -0.78
# - ρ (Mg/m³) = 2.8
data_MgSc2N
_cell_length_a 3.2072
_cell_length_b 3.2072
_cell_length_c 25.6070
_cell_angle_alpha 90.00
_cell_angle_beta 90.00
_cell_angle_gamma 120.00
_space_group_name_H-M_alt 'R -3 m'
_space_group_IT_number 166
_space_group_name_Hall '-R 3 2"'
loop_
_atom_site_label
_atom_site_fract_x
_atom_site_fract_y
_atom_site_fract_z
Mg1 0.0000 0.0000 0.0000
Sc1 0.0000 0.0000 0.1201
N1 0.0000 0.0000 0.5000

# PBE NbClF3, relaxed
# - N(E_F) (states/eV per cell) = 2.86
# - raw total energy (eV/atom) = -5.5281
# - size of the total moment (μB per formula unit) = 1.00
# - formation energy without anion corrections (eV per atom) = -2.02
# - ρ (Mg/m³) = 4.3
data_NbClF3
_cell_length_a 4.136
_cell_length_b 4.136
_cell_length_c 4.136
_cell_angle_alpha 90.00
_cell_angle_beta 90.00
_cell_angle_gamma 90.00
_space_group_name_H-M_alt 'P m -3 m'
_space_group_IT_number 221
_space_group_name_Hall '-P 4 2 3'
loop_
_atom_site_label
_atom_site_fract_x
_atom_site_fract_y
_atom_site_fract_z
Nb1 0.000 0.000 0.000
Cl1 0.500 0.500 0.500
F1 0.000 0.000 0.500

# PBE La2Pr2Tm7, relaxed
# - N(E_F) (states/eV per cell) = 35.96
# - energy relative to the elements (eV/atom) = 0.1624
# - raw total energy (eV/atom) = -4.4480
# - size of the total moment (μB per formula unit) = 0.00
# - ρ (Mg/m³) = 7.9
data_La2Pr2Tm7
_cell_length_a 11.286
_cell_length_b 11.592
_cell_length_c 6.106
_cell_angle_alpha 90.00
_cell_angle_beta 113.82
_cell_angle_gamma 90.00
_space_group_name_H-M_alt 'C 1 2/m 1'
_space_group_IT_number 12
loop_
_space_group_symop_operation_xyz
'x,y,z'
'-x,-y,-z'
'-x,y,-z'
'x,-y,z'
'x+1/2,y+1/2,z'
'-x+1/2,-y+1/2,-z'
'-x+1/2,y+1/2,-z'
'x+1/2,-y+1/2,z'
loop_
_atom_site_label
_atom_site_fract_x
_atom_site_fract_y
_atom_site_fract_z
La1 0.000 0.216 0.000
Pr1 0.239 0.000 0.085
Tm1 0.000 0.000 0.500
Tm2 0.098 0.500 0.311
Tm3 0.170 0.236 0.664

Question: The highest size of the total moment belongs to which entry?
Answer: NbClF3